Density functional theory data (GGA-PBE) for Tm5Te2Au2 after structural relaxation.

The structure in CIF format:
```
data_Tm5Te2Au2
_cell_length_a 7.878
_cell_length_b 7.905
_cell_length_c 8.585
_cell_angle_alpha 117.41
_cell_angle_beta 90.00
_cell_angle_gamma 90.00
_space_group_name_H-M_alt 'P 1'
_space_group_IT_number 1
loop_
_space_group_symop_operation_xyz
'x,y,z'
loop_
_atom_site_label
_atom_site_type_symbol
_atom_site_fract_x
_atom_site_fract_y
_atom_site_fract_z
Te1 Te 0.500 0.292 0.585
Te2 Te 0.500 0.708 0.415
Te3 Te 0.000 0.792 0.585
Te4 Te 0.000 0.208 0.415
Tm1 Tm 0.660 0.284 0.244
Tm2 Tm 0.160 0.216 0.756
Tm3 Tm 0.340 0.716 0.756
Tm4 Tm 0.840 0.784 0.244
Tm5 Tm 0.340 0.960 0.244
Tm6 Tm 0.500 0.500 0.000
Tm7 Tm 0.000 0.000 0.000
Tm8 Tm 0.840 0.540 0.756
Tm9 Tm 0.160 0.460 0.244
Tm10 Tm 0.660 0.040 0.756
Au1 Au 0.135 0.637 0.000
Au2 Au 0.635 0.863 0.000
Au3 Au 0.865 0.363 0.000
Au4 Au 0.365 0.137 0.000
```

- spin magnetization (μB per cell) = 0.0
- SG = Cmce (64)
- E_tot (eV per cell) = -88.098
- volume (Å³/atom) = 26.4
- theoretical density (g/cm3) = 10.453


Density functional theory data (GGA-PBE) for TmTe2Au after structural relaxation.

The structure in CIF format:
```
data_TmTe2Au
_cell_length_a 4.243
_cell_length_b 4.243
_cell_length_c 7.596
_cell_angle_alpha 73.78
_cell_angle_beta 73.78
_cell_angle_gamma 60.00
_space_group_name_H-M_alt 'P 1'
_space_group_IT_number 1
loop_
_space_group_symop_operation_xyz
'x,y,z'
loop_
_atom_site_label
_atom_site_type_symbol
_atom_site_fract_x
_atom_site_fract_y
_atom_site_fract_z
Au1 Au 0.664 0.664 0.008
Te1 Te 0.080 0.080 0.761
Te2 Te 0.254 0.254 0.239
Tm1 Tm 0.503 0.503 0.492
```

- spin magnetization (μB per cell) = 0.0
- SG = R3m (160)
- E_tot (eV per cell) = -16.559
- volume (Å³/atom) = 28.0
- theoretical density (g/cm3) = 9.201


Density functional theory data (GGA-PBE) for TmTeAu after structural relaxation.

The structure in CIF format:
```
data_TmTeAu
_cell_length_a 4.164
_cell_length_b 4.164
_cell_length_c 9.714
_cell_angle_alpha 72.53
_cell_angle_beta 107.50
_cell_angle_gamma 94.59
_space_group_name_H-M_alt 'P 1'
_space_group_IT_number 1
loop_
_space_group_symop_operation_xyz
'x,y,z'
loop_
_atom_site_label
_atom_site_type_symbol
_atom_site_fract_x
_atom_site_fract_y
_atom_site_fract_z
Au1 Au 0.296 0.704 0.534
Au2 Au 0.704 0.296 0.466
Tm1 Tm 0.089 0.910 0.752
Tm2 Tm 0.911 0.090 0.248
Te1 Te 0.668 0.332 0.865
Te2 Te 0.332 0.668 0.135
```

- spin magnetization (μB per cell) = 0.0
- SG = C2/m (12)
- E_tot (eV per cell) = -27.559
- volume (Å³/atom) = 25.5
- theoretical density (g/cm3) = 10.696


Density functional theory data (GGA-PBE) for Tm2TeAu after structural relaxation.

The structure in CIF format:
```
data_Tm2TeAu
_cell_length_a 3.775
_cell_length_b 3.775
_cell_length_c 6.879
_cell_angle_alpha 90.00
_cell_angle_beta 90.00
_cell_angle_gamma 90.00
_space_group_name_H-M_alt 'P 1'
_space_group_IT_number 1
loop_
_space_group_symop_operation_xyz
'x,y,z'
loop_
_atom_site_label
_atom_site_type_symbol
_atom_site_fract_x
_atom_site_fract_y
_atom_site_fract_z
Tm1 Tm 0.000 0.000 0.238
Tm2 Tm 0.000 0.000 0.762
Au1 Au 0.500 0.500 0.000
Te1 Te 0.500 0.500 0.500
```

- spin magnetization (μB per cell) = 0.8
- SG = P4/mmm (123)
- E_tot (eV per cell) = -18.796
- volume (Å³/atom) = 24.5
- theoretical density (g/cm3) = 11.222


Density functional theory data (GGA-PBE) for Tm2TeAu after structural relaxation.

The structure in CIF format:
```
data_Tm2TeAu
_cell_length_a 4.104
_cell_length_b 4.104
_cell_length_c 7.830
_cell_angle_alpha 74.81
_cell_angle_beta 74.81
_cell_angle_gamma 60.00
_space_group_name_H-M_alt 'P 1'
_space_group_IT_number 1
loop_
_space_group_symop_operation_xyz
'x,y,z'
loop_
_atom_site_label
_atom_site_type_symbol
_atom_site_fract_x
_atom_site_fract_y
_atom_site_fract_z
Au1 Au 0.668 0.668 0.997
Te1 Te 0.499 0.499 0.504
Tm1 Tm 0.259 0.259 0.223
Tm2 Tm 0.075 0.075 0.776
```

- spin magnetization (μB per cell) = 0.0
- SG = R3m (160)
- E_tot (eV per cell) = -19.320
- volume (Å³/atom) = 27.2
- theoretical density (g/cm3) = 10.105


Density functional theory data (GGA-PBE) for Tm2TeAu after structural relaxation.

The structure in CIF format:
```
data_Tm2TeAu
_cell_length_a 4.093
_cell_length_b 4.093
_cell_length_c 7.816
_cell_angle_alpha 74.82
_cell_angle_beta 74.82
_cell_angle_gamma 60.00
_space_group_name_H-M_alt 'P 1'
_space_group_IT_number 1
loop_
_space_group_symop_operation_xyz
'x,y,z'
loop_
_atom_site_label
_atom_site_type_symbol
_atom_site_fract_x
_atom_site_fract_y
_atom_site_fract_z
Te1 Te 0.500 0.500 0.500
Tm1 Tm 0.742 0.742 0.773
Tm2 Tm 0.258 0.258 0.227
Au1 Au 0.000 0.000 0.000
```

- spin magnetization (μB per cell) = 0.0
- SG = R-3m (166)
- E_tot (eV per cell) = -19.449
- volume (Å³/atom) = 27.0
- theoretical density (g/cm3) = 10.179